Entry w
# KHgRh3

Crystalline KHgRh3 at its relaxed geometry (PBE, the Alexandria database).

```
KHgRh3
1.0
5.106 0.000 0.000
0.000 5.106 0.000
0.000 0.000 5.106
K Hg Rh
1 1 3
direct
0.000 0.000 0.000
0.500 0.500 0.500
0.000 0.500 0.500
0.500 0.000 0.500
0.500 0.500 0.000
```

Output
V ... 26.6 Å³/atom

Entry x
# KHgRh3

Crystalline KHgRh3 at its relaxed geometry (PBE, the Alexandria database).

```
KHgRh3
1.0
4.769 0.000 0.000
0.000 4.769 0.000
0.000 0.000 4.769
K Hg Rh
1 1 3
direct
0.000 0.000 0.000
0.500 0.500 0.500
0.000 0.000 0.500
0.000 0.500 0.000
0.500 0.000 0.000
```

Output
V ... 21.7 Å³/atom

Tell me which of them is the least stable. Sure, it is entry x.

Entry w
# KHg2TeRh

Crystalline KHg2TeRh at its relaxed geometry (PBE, the Alexandria database).

```
KHg2TeRh
1.0
5.332 0.000 0.000
0.000 5.332 0.000
0.000 0.000 5.298
K Hg Te Rh
1 2 1 1
direct
0.000 0.000 0.000
0.000 0.500 0.500
0.500 0.000 0.500
0.500 0.500 0.000
0.500 0.500 0.500
```

Output
V ... 30.1 Å³/atom

Entry x
# KHg2TeRh

Crystalline KHg2TeRh at its relaxed geometry (PBE, the Alexandria database).

```
KHg2TeRh
1.0
5.778 0.000 0.000
0.000 5.778 0.000
0.000 0.000 5.136
K Hg Te Rh
1 2 1 1
direct
0.000 0.000 0.000
0.000 0.500 0.000
0.500 0.000 0.000
0.500 0.500 0.500
0.000 0.000 0.500
```

Output
V ... 34.3 Å³/atom

Tell me which of them is the least stable. Sure, it is entry x.

Entry w
# KHgRu

Crystalline KHgRu at its relaxed geometry (PBE, the Alexandria database).

```
KHgRu
1.0
5.251 0.000 0.000
-2.626 4.548 0.000
0.000 0.000 2.807
K Hg Ru
1 1 1
direct
0.000 0.000 0.000
0.333 0.667 0.500
0.667 0.333 0.500
```

Output
V ... 22.3 Å³/atom

Entry x
# KHgRu

Crystalline KHgRu at its relaxed geometry (PBE, the Alexandria database).

```
KHgRu
1.0
0.000 3.462 3.462
3.462 0.000 3.462
3.462 3.462 0.000
K Hg Ru
1 1 1
direct
0.000 0.000 0.000
0.500 0.500 0.500
0.750 0.750 0.750
```

Output
V ... 27.7 Å³/atom

Tell me which of them is the least stable. Sure, it is entry x.

Entry w
# KHgRu

Crystalline KHgRu at its relaxed geometry (PBE, the Alexandria database).

```
KHgRu
1.0
-1.832 1.832 5.991
1.832 -1.832 5.991
1.832 1.832 -5.991
K Hg Ru
1 1 1
direct
0.000 0.000 0.000
0.281 0.281 0.000
0.720 0.720 0.000
```

Output
V ... 26.8 Å³/atom

Entry x
# KHgRu

Crystalline KHgRu at its relaxed geometry (PBE, the Alexandria database).

```
KHgRu
1.0
-1.461 2.256 5.942
1.461 -2.256 5.942
1.461 2.256 -5.942
K Hg Ru
1 1 1
direct
0.000 0.000 0.000
0.277 0.277 0.000
0.726 0.726 0.000
```

Output
V ... 26.1 Å³/atom

Tell me which of them is the least stable. Sure, it is entry w.

Entry w
# KHg3Ru

Crystalline KHg3Ru at its relaxed geometry (PBE, the Alexandria database).

```
KHg3Ru
1.0
6.146 0.000 0.000
0.000 6.146 0.000
0.000 0.000 6.146
K Hg Ru
1 3 1
direct
0.000 0.000 0.000
0.000 0.000 0.500
0.000 0.500 0.000
0.500 0.000 0.000
0.500 0.500 0.500
```

Output
V ... 46.4 Å³/atom

Entry x
# KHg3Ru

Crystalline KHg3Ru at its relaxed geometry (PBE, the Alexandria database).

```
KHg3Ru
1.0
5.312 0.000 0.000
0.000 5.312 0.000
0.000 0.000 5.312
K Hg Ru
1 3 1
direct
0.000 0.000 0.000
0.000 0.500 0.500
0.500 0.000 0.500
0.500 0.500 0.000
0.500 0.500 0.500
```

Output
V ... 30.0 Å³/atom

Tell me which of them is the least stable. Sure, it is entry w.

Entry w
# K3HgSb

Crystalline K3HgSb at its relaxed geometry (PBE, the Alexandria database).

```
K3HgSb
1.0
6.770 0.000 0.000
0.000 6.770 0.000
0.000 0.000 6.770
K Hg Sb
3 1 1
direct
0.000 0.000 0.500
0.000 0.500 0.000
0.500 0.000 0.000
0.500 0.500 0.500
0.000 0.000 0.000
```

Output
V ... 62.1 Å³/atom

Entry x
# K3HgSb

Crystalline K3HgSb at its relaxed geometry (PBE, the Alexandria database).

```
K3HgSb
1.0
-5.464 4.975 4.674
5.464 -4.975 4.674
5.464 4.975 -4.674
K Hg Sb
6 2 2
direct
0.197 0.056 0.253
0.197 0.444 0.640
0.567 0.917 0.150
0.766 0.417 0.850
0.803 0.556 0.360
0.803 0.944 0.747
0.274 0.065 0.708
0.357 0.565 0.292
0.111 0.782 0.829
0.953 0.282 0.171
```

Output
V ... 50.8 Å³/atom

Tell me which of them is the least stable. Sure, it is entry w.

Entry w
# KHg4Sb

Crystalline KHg4Sb at its relaxed geometry (PBE, the Alexandria database).

```
KHg4Sb
1.0
5.433 0.000 0.000
0.166 6.106 0.000
0.018 0.259 11.189
K Hg Sb
2 8 2
direct
0.250 0.019 0.268
0.750 0.981 0.732
0.242 0.249 0.562
0.250 0.005 0.944
0.250 0.523 0.095
0.258 0.745 0.557
0.742 0.255 0.443
0.750 0.477 0.905
0.750 0.995 0.056
0.758 0.751 0.438
0.250 0.491 0.805
0.750 0.509 0.195
```

Output
V ... 30.9 Å³/atom

Entry x
# KHg4Sb

Crystalline KHg4Sb at its relaxed geometry (PBE, the Alexandria database).

```
KHg4Sb
1.0
0.000 4.426 4.426
4.426 0.000 4.426
4.426 4.426 0.000
K Hg Sb
1 4 1
direct
0.000 0.000 0.000
0.375 0.375 0.375
0.375 0.375 0.874
0.375 0.874 0.375
0.874 0.375 0.375
0.750 0.750 0.750
```

Output
V ... 28.9 Å³/atom

Tell me which of them is the least stable. Sure, it is entry x.

Entry w
# KHgSb4

Crystalline KHgSb4 at its relaxed geometry (PBE, the Alexandria database).

```
KHgSb4
1.0
6.697 -2.494 0.000
6.697 2.494 0.000
-3.351 0.000 5.811
K Hg Sb
1 1 4
direct
0.000 0.000 0.000
0.000 0.000 0.500
0.321 0.321 0.106
0.321 0.321 0.535
0.679 0.679 0.465
0.679 0.679 0.894
```

Output
V ... 32.4 Å³/atom

Entry x
# KHgSb4

Crystalline KHgSb4 at its relaxed geometry (PBE, the Alexandria database).

```
KHgSb4
1.0
0.000 4.592 4.592
4.592 0.000 4.592
4.592 4.592 0.000
K Hg Sb
1 1 4
direct
0.000 0.000 0.000
0.250 0.250 0.250
0.151 0.616 0.616
0.616 0.151 0.616
0.616 0.616 0.151
0.616 0.616 0.616
```

Output
V ... 32.3 Å³/atom

Tell me which of them is the least stable. Sure, it is entry x.

Entry w
# KSnHgSb

Crystalline KSnHgSb at its relaxed geometry (PBE, the Alexandria database).

```
KSnHgSb
1.0
-2.164 2.764 6.154
2.164 -2.764 6.154
2.164 2.764 -6.154
K Sn Hg Sb
1 1 1 1
direct
0.000 0.000 0.000
0.735 0.235 0.500
0.326 0.326 0.000
0.582 0.582 0.000
```

Output
V ... 36.8 Å³/atom

Entry x
# KSnHgSb

Crystalline KSnHgSb at its relaxed geometry (PBE, the Alexandria database).

```
KSnHgSb
1.0
0.000 3.953 3.953
3.953 0.000 3.953
3.953 3.953 0.000
K Sn Hg Sb
1 1 1 1
direct
0.000 0.000 0.000
0.500 0.500 0.500
0.750 0.750 0.750
0.250 0.250 0.250
```

Output
V ... 30.9 Å³/atom

Tell me which of them is the least stable. Sure, it is entry x.

Entry w
# KHgSbTe2

Crystalline KHgSbTe2 at its relaxed geometry (PBE, the Alexandria database).

```
KHgSbTe2
1.0
6.079 0.000 0.000
0.000 6.079 0.000
0.000 0.000 6.115
K Hg Sb Te
1 1 1 2
direct
0.000 0.000 0.000
0.500 0.500 0.500
0.000 0.000 0.500
0.000 0.500 0.000
0.500 0.000 0.000
```

Output
V ... 45.2 Å³/atom

Entry x
# KHgSbTe2

Crystalline KHgSbTe2 at its relaxed geometry (PBE, the Alexandria database).

```
KHgSbTe2
1.0
5.895 0.000 0.000
0.000 5.895 0.000
0.000 0.000 5.513
K Hg Sb Te
1 1 1 2
direct
0.000 0.000 0.000
0.500 0.500 0.500
0.500 0.500 0.000
0.000 0.500 0.500
0.500 0.000 0.500
```

Output
V ... 38.3 Å³/atom

Tell me which of them is the least stable. Sure, it is entry w.

Entry w
# K2ScHg2

Crystalline K2ScHg2 at its relaxed geometry (PBE, the Alexandria database).

```
K2ScHg2
1.0
7.649 0.000 0.000
0.000 7.649 0.000
0.000 0.000 5.874
K Sc Hg
4 2 4
direct
0.173 0.327 0.000
0.327 0.827 0.000
0.673 0.173 0.000
0.827 0.673 0.000
0.000 0.000 0.500
0.500 0.500 0.500
0.140 0.640 0.500
0.360 0.140 0.500
0.640 0.860 0.500
0.860 0.360 0.500
```

Output
V ... 34.4 Å³/atom

Entry x
# K2ScHg2

Crystalline K2ScHg2 at its relaxed geometry (PBE, the Alexandria database).

```
K2ScHg2
1.0
-2.092 2.092 11.507
2.092 -2.092 11.507
2.092 2.092 -11.507
K Sc Hg
2 1 2
direct
0.121 0.121 0.000
0.879 0.879 0.000
0.500 0.500 0.000
0.250 0.750 0.500
0.750 0.250 0.500
```

Output
V ... 40.3 Å³/atom

Entry y
# K2ScHg2

Crystalline K2ScHg2 at its relaxed geometry (PBE, the Alexandria database).

```
K2ScHg2
1.0
9.629 0.000 0.000
0.000 9.629 0.000
0.000 0.000 3.473
K Sc Hg
4 2 4
direct
0.126 0.374 0.000
0.374 0.874 0.000
0.626 0.126 0.000
0.874 0.626 0.000
0.000 0.000 0.000
0.500 0.500 0.000
0.177 0.677 0.500
0.323 0.177 0.500
0.677 0.823 0.500
0.823 0.323 0.500
```

Output
V ... 32.2 Å³/atom

Tell me which of them is the least stable. Sure, it is entry x.

Entry w
# KScHg3

Crystalline KScHg3 at its relaxed geometry (PBE, the Alexandria database).

```
KScHg3
1.0
5.640 0.000 0.000
0.000 5.640 0.000
0.000 0.000 5.640
K Sc Hg
1 1 3
direct
0.000 0.000 0.000
0.500 0.500 0.500
0.000 0.500 0.500
0.500 0.000 0.500
0.500 0.500 0.000
```

Output
V ... 35.9 Å³/atom

Entry x
# KScHg3

Crystalline KScHg3 at its relaxed geometry (PBE, the Alexandria database).

```
KScHg3
1.0
5.823 0.000 0.000
0.000 5.823 0.000
0.000 0.000 5.823
K Sc Hg
1 1 3
direct
0.000 0.000 0.000
0.500 0.500 0.500
0.000 0.000 0.500
0.000 0.500 0.000
0.500 0.000 0.000
```

Output
V ... 39.5 Å³/atom

Tell me which of them is the least stable. Sure, it is entry x.